# 1
DFT (PBE-GGA) results for a relaxed Sc3Hg8 crystal.

Computed properties:
The density of states at the Fermi level comes out at 0.614 states/eV per atom. As for the energy of formation from the pure elements: -0.187 eV per atom. The magnetic moment is 0.0 μB/f.u.

Unit cell a=4.9294 b=4.9294 c=34.6875 alpha=90.00 beta=90.00 gamma=120.00
Space group R-3m (No. 166, hexagonal axes)
Unique sites:
Sc 0.0000 0.0000 0.0000
Sc 0.0000 0.0000 0.4511
Hg 0.0000 0.0000 0.0885
Hg 0.0000 0.0000 0.1766
Hg 0.0000 0.0000 0.2710
Hg 0.0000 0.0000 0.3620

***

# 2
DFT (PBE-GGA) results for a relaxed ScHg4 crystal.

Computed properties:
The density of states at the Fermi level comes out at 0.568 states/eV per atom. As for the energy of formation from the pure elements: -0.100 eV per atom. The magnetic moment is 0.0 μB/f.u.

Unit cell a=8.2337 b=5.0082 c=6.0538 alpha=90.00 beta=112.90 gamma=90.00
Space group C2/m (No. 12)
Unique sites:
Sc 0.0000 0.0000 0.0000
Hg 0.1036 0.5000 0.8078
Hg 0.2003 0.0000 0.6052

***

# 3
DFT (PBE-GGA) results for a relaxed Sc2Hg5 crystal.

Computed properties:
The density of states at the Fermi level comes out at 0.616 states/eV per atom. As for the energy of formation from the pure elements: -0.199 eV per atom. The magnetic moment is 0.0 μB/f.u.

Unit cell a=8.5579 b=5.1893 c=8.0443 alpha=90.00 beta=116.77 gamma=90.00
Space group C2/m (No. 12)
Unique sites:
Sc 0.2310 0.0000 0.1632
Hg 0.0000 0.5000 0.0000
Hg 0.0732 0.0000 0.7513
Hg 0.1449 0.5000 0.4227

***

# 4
DFT (PBE-GGA) results for a relaxed Sc3Hg crystal.

Computed properties:
The density of states at the Fermi level comes out at 1.357 states/eV per atom. As for the energy of formation from the pure elements: -0.134 eV per atom. The magnetic moment is 0.4 μB/f.u.

Unit cell a=6.4495 b=8.4176 c=3.4033 alpha=90.00 beta=90.00 gamma=90.00
Space group Cmmm (No. 65)
Unique sites:
Sc 0.0000 0.0000 0.0000
Sc 0.2500 0.2500 0.5000
Hg 0.0000 0.5000 0.0000

***

# 5
DFT (PBE-GGA) results for a relaxed Sc3Hg crystal.

Computed properties:
The density of states at the Fermi level comes out at 1.440 states/eV per atom. As for the energy of formation from the pure elements: -0.110 eV per atom. The magnetic moment is 0.0 μB/f.u.

Unit cell a=3.3990 b=3.3990 c=9.6326 alpha=90.00 beta=90.00 gamma=120.00
Space group P-6m2 (No. 187)
Unique sites:
Sc 0.0000 0.0000 0.0000
Sc 0.3333 0.6667 0.2609
Hg 0.0000 0.0000 0.5000

***

# 6
DFT (PBE-GGA) results for a relaxed Sc3Hg crystal.

Computed properties:
The density of states at the Fermi level comes out at 1.844 states/eV per atom. As for the energy of formation from the pure elements: -0.078 eV per atom. The magnetic moment is 0.0 μB/f.u.

Unit cell a=10.0539 b=10.0539 c=3.1451 alpha=90.00 beta=90.00 gamma=120.00
Space group R-3m (No. 166, hexagonal axes)
Unique sites:
Sc 0.0000 0.5000 0.0000
Hg 0.0000 0.0000 0.0000

***

# 7
DFT (PBE-GGA) results for a relaxed Sc3Hg crystal.

Computed properties:
The density of states at the Fermi level comes out at 0.993 states/eV per atom. As for the energy of formation from the pure elements: -0.220 eV per atom. The magnetic moment is 0.0 μB/f.u.

Unit cell a=3.6153 b=4.8688 c=10.4406 alpha=90.00 beta=90.00 gamma=90.00
Space group Immm (No. 71)
Unique sites:
Sc 0.0000 0.0000 0.0000
Sc 0.0000 0.5000 0.2273
Hg 0.0000 0.0000 0.5000

***

# 8
DFT (PBE-GGA) results for a relaxed Sc3Hg crystal.

Computed properties:
The density of states at the Fermi level comes out at 1.363 states/eV per atom. As for the energy of formation from the pure elements: -0.212 eV per atom. The magnetic moment is 0.0 μB/f.u.

Unit cell a=7.8557 b=9.7065 c=4.8272 alpha=90.00 beta=90.00 gamma=90.00
Space group Cmcm (No. 63)
Unique sites:
Sc 0.0000 0.1054 0.2500
Sc 0.2095 0.3888 0.2500
Hg 0.0000 0.3152 0.7500

***

# 9
DFT (PBE-GGA) results for a relaxed ScHg3 crystal.

Computed properties:
The density of states at the Fermi level comes out at 0.458 states/eV per atom. As for the energy of formation from the pure elements: -0.115 eV per atom. The magnetic moment is 0.0 μB/f.u.

Unit cell a=3.5201 b=3.5201 c=26.9800 alpha=90.00 beta=90.00 gamma=120.00
Space group R-3m (No. 166, hexagonal axes)
Unique sites:
Sc 0.0000 0.0000 0.0000
Hg 0.0000 0.0000 0.2526
Hg 0.0000 0.0000 0.5000

***

# 10
DFT (PBE-GGA) results for a relaxed Sc5Hg6 crystal.

Computed properties:
The density of states at the Fermi level comes out at 0.919 states/eV per atom. As for the energy of formation from the pure elements: -0.333 eV per atom. The magnetic moment is 0.0 μB/f.u.

Unit cell a=4.9381 b=6.9430 c=14.7385 alpha=90.00 beta=90.00 gamma=90.00
Space group Immm (No. 71)
Unique sites:
Sc 0.0000 0.0000 0.0000
Sc 0.0000 0.0000 0.3302
Sc 0.0000 0.5000 0.3367
Hg 0.0000 0.2290 0.5000
Hg 0.0000 0.2634 0.1602

***

# 11
DFT (PBE-GGA) results for a relaxed Sc3Hg crystal.

Computed properties:
The density of states at the Fermi level comes out at 1.974 states/eV per atom. As for the energy of formation from the pure elements: -0.080 eV per atom. The magnetic moment is 1.3 μB/f.u.

Unit cell a=7.1213 b=7.1213 c=7.1213 alpha=90.00 beta=90.00 gamma=90.00
Space group Fm-3m (No. 225)
Unique sites:
Sc 0.0000 0.0000 0.0000
Sc 0.2500 0.2500 0.2500
Hg 0.0000 0.0000 0.5000

***

# 12
DFT (PBE-GGA) results for a relaxed Sc2Hg7 crystal.

Computed properties:
The density of states at the Fermi level comes out at 0.752 states/eV per atom. As for the energy of formation from the pure elements: -0.142 eV per atom. The magnetic moment is 0.0 μB/f.u.

Unit cell a=5.0328 b=5.0328 c=9.5133 alpha=90.00 beta=90.00 gamma=120.00
Space group P-3m1 (No. 164)
Unique sites:
Sc 0.3333 0.6667 0.3715
Hg 0.0000 0.0000 0.1785
Hg 0.0000 0.0000 0.5000
Hg 0.3333 0.6667 0.0540
Hg 0.3333 0.6667 0.6910